1.
Compound: NaTi2CdAg
Source: the Alexandria database
Functional: PBE-GGA
Structure: relaxed

Cell lengths 5.1326, 5.2416, 5.1326 Å; angles 90.00, 90.00, 90.00 degrees
Each line ends with the local moment (μB).
Atoms (fractional coordinates):
Na  0.0000  0.5000  0.0000  0.00
Ti  0.5000  0.0000  0.0000  1.24
Ti  0.0000  0.0000  0.5000  0.92
Cd  0.0000  0.0000  0.0000  0.02
Ag  0.5000  0.5000  0.5000  -0.01

Symmetry: No. 123
DFT total energy (eV/atom): -3.052
ΔH_f (0 K) (eV/atom): 1.123

2.
Compound: NaYCdAg
Source: the Alexandria database
Functional: PBE-GGA
Structure: relaxed

Cell lengths 5.1503, 5.1503, 5.1503 Å; angles 60.00, 60.00, 60.00 degrees
Atoms (fractional coordinates):
Ag  0.0000  0.0000  0.0000
Cd  0.5000  0.5000  0.5000
Na  0.7500  0.7500  0.7500
Y  0.2500  0.2500  0.2500

Symmetry: No. 216
DFT total energy (eV/atom): -2.998
ΔH_f (0 K) (eV/atom): -0.111

3.
Compound: NaZnCdAg
Source: the Alexandria database
Functional: PBE-GGA
Structure: relaxed

Cell lengths 4.6854, 4.6854, 5.2192 Å; angles 63.33, 63.33, 60.00 degrees
Atoms (fractional coordinates):
Cd  0.0393  0.0393  0.8822
Na  0.8145  0.8145  0.5565
Ag  0.2766  0.2766  0.1703
Zn  0.5955  0.5955  0.2134

Symmetry: No. 160
DFT total energy (eV/atom): -1.589
ΔH_f (0 K) (eV/atom): 0.001

4.
Compound: NaZn2CdAg
Source: the Alexandria database
Functional: PBE-GGA
Structure: relaxed

Cell lengths 5.2440, 5.5430, 5.2440 Å; angles 90.00, 90.00, 90.00 degrees
Atoms (fractional coordinates):
Na  0.0000  0.0000  0.0000
Zn  0.5000  0.0000  0.0000
Zn  0.0000  0.0000  0.5000
Cd  0.0000  0.5000  0.0000
Ag  0.5000  0.5000  0.5000

Symmetry: No. 123
DFT total energy (eV/atom): -0.794
ΔH_f (0 K) (eV/atom): 0.733

5.
Compound: Na2Zn2Cd5Ag
Source: the Alexandria database
Functional: PBE-GGA
Structure: relaxed

Cell lengths 3.8175, 10.8508, 10.8508 Å; angles 90.00, 90.00, 90.00 degrees
Atoms (fractional coordinates):
Cd  0.5000  0.0573  0.8027
Cd  0.5000  0.6973  0.4427
Cd  0.5000  0.5000  0.0000
Cd  0.5000  0.1973  0.0573
Cd  0.5000  0.0000  0.5000
Cd  0.5000  0.4427  0.3027
Cd  0.5000  0.9427  0.1973
Cd  0.5000  0.3027  0.5573
Cd  0.5000  0.5573  0.6973
Cd  0.5000  0.8027  0.9427
Na  0.0000  0.1743  0.3257
Na  0.0000  0.8257  0.6743
Na  0.0000  0.6743  0.1743
Na  0.0000  0.3257  0.8257
Ag  0.0000  0.0000  0.0000
Ag  0.0000  0.5000  0.5000
Zn  0.0000  0.6296  0.8704
Zn  0.0000  0.3704  0.1296
Zn  0.0000  0.8704  0.3704
Zn  0.0000  0.1296  0.6296

Symmetry: No. 127
DFT total energy (eV/atom): -1.280
ΔH_f (0 K) (eV/atom): -0.019

6.
Compound: Na2ZnCd6Ag
Source: the Alexandria database
Functional: PBE-GGA
Structure: relaxed

Cell lengths 7.1809, 7.1809, 12.4402 Å; angles 73.22, 73.22, 60.00 degrees
Atoms (fractional coordinates):
Na  0.2873  0.2873  0.1380
Na  0.8872  0.8872  0.3385
Na  0.1128  0.1128  0.6615
Na  0.7127  0.7127  0.8620
Zn  0.5728  0.5728  0.2817
Zn  0.4272  0.4272  0.7183
Cd  0.7747  0.3355  0.1151
Cd  0.3387  0.9344  0.3883
Cd  0.3355  0.7747  0.1151
Cd  0.0656  0.6613  0.6117
Cd  0.6613  0.0656  0.6117
Cd  0.3387  0.3387  0.3883
Cd  0.6645  0.2253  0.8849
Cd  0.9344  0.3387  0.3883
Cd  0.2253  0.2253  0.8849
Cd  0.2253  0.6645  0.8849
Cd  0.7747  0.7747  0.1151
Cd  0.6613  0.6613  0.6117
Ag  0.5000  0.5000  0.5000
Ag  0.0000  0.0000  0.0000

Symmetry: No. 166
DFT total energy (eV/atom): -1.194
ΔH_f (0 K) (eV/atom): 0.032

7.
Compound: NbCd3Ag
Source: the Alexandria database
Functional: PBE-GGA
Structure: relaxed

Cell lengths 5.0115, 5.0115, 5.0115 Å; angles 90.00, 90.00, 90.00 degrees
Atoms (fractional coordinates):
Cd  0.0000  0.0000  0.5000
Cd  0.0000  0.5000  0.0000
Cd  0.5000  0.0000  0.0000
Nb  0.5000  0.5000  0.5000
Ag  0.0000  0.0000  0.0000

Symmetry: No. 221
DFT total energy (eV/atom): -2.121
Energy above the lowest structure with this stoichiometry (meV/atom): 0
ΔH_f (0 K) (eV/atom): 1.012

8.
Compound: NbCd2Ag
Source: the Alexandria database
Functional: PBE-GGA
Structure: relaxed

Cell lengths 2.9778, 2.9778, 10.2408 Å; angles 81.64, 81.64, 60.00 degrees
Atoms (fractional coordinates):
Nb  0.5000  0.5000  0.5000
Cd  0.2515  0.2515  0.2456
Cd  0.7485  0.7485  0.7544
Ag  0.0000  0.0000  0.0000

Symmetry: No. 166
DFT total energy (eV/atom): -3.554
Energy above the lowest structure with this stoichiometry (meV/atom): 62
ΔH_f (0 K) (eV/atom): 0.134

9.
Compound: NbCd2Ag
Source: the Alexandria database
Functional: PBE-GGA
Structure: relaxed

Cell lengths 4.7837, 4.7837, 4.7837 Å; angles 60.00, 60.00, 60.00 degrees
Atoms (fractional coordinates):
Nb  0.0000  0.0000  0.0000
Ag  0.5000  0.5000  0.5000
Cd  0.2500  0.2500  0.2500
Cd  0.7500  0.7500  0.7500

Symmetry: No. 225
DFT total energy (eV/atom): -3.335
Energy above the lowest structure with this stoichiometry (meV/atom): 280
ΔH_f (0 K) (eV/atom): 0.352

10.
Compound: NbCd2Ag
Source: the Alexandria database
Functional: PBE-GGA
Structure: relaxed

Cell lengths 2.9659, 2.9659, 8.7177 Å; angles 90.00, 90.00, 90.00 degrees
Atoms (fractional coordinates):
Cd  0.0000  0.0000  0.7540
Cd  0.0000  0.0000  0.2460
Ag  0.5000  0.5000  0.0000
Nb  0.5000  0.5000  0.5000

Symmetry: No. 123
DFT total energy (eV/atom): -3.616
Energy above the lowest structure with this stoichiometry (meV/atom): 0
ΔH_f (0 K) (eV/atom): 0.072

11.
Compound: NbCd3Ag
Source: the Alexandria database
Functional: PBE-GGA
Structure: relaxed

Cell lengths 5.4937, 5.4937, 5.4937 Å; angles 90.00, 90.00, 90.00 degrees
Each line ends with the local moment (μB).
Atoms (fractional coordinates):
Cd  0.0000  0.0000  0.5000  0.04
Cd  0.0000  0.5000  0.0000  0.07
Cd  0.5000  0.0000  0.0000  0.08
Ag  0.5000  0.5000  0.5000  -0.04
Nb  0.0000  0.0000  0.0000  2.08

Symmetry: No. 221
DFT total energy (eV/atom): -2.019
Energy above the lowest structure with this stoichiometry (meV/atom): 102
ΔH_f (0 K) (eV/atom): 1.114

12.
Compound: Nb2CdAg
Source: the Alexandria database
Functional: PBE-GGA
Structure: relaxed

Cell lengths 7.7906, 7.7906, 6.1122 Å; angles 50.41, 50.41, 90.00 degrees
Atoms (fractional coordinates):
Cd  0.7500  0.2500  0.5000
Cd  0.0000  0.0000  0.0000
Nb  0.6186  0.1250  0.2500
Nb  0.3750  0.3814  0.7500
Nb  0.8750  0.8686  0.7500
Nb  0.1314  0.6250  0.2500
Ag  0.2500  0.7500  0.5000
Ag  0.5000  0.5000  0.0000

Symmetry: No. 122
DFT total energy (eV/atom): -5.281
ΔH_f (0 K) (eV/atom): 0.695

13.
Compound: NbCdAg2
Source: the Alexandria database
Functional: PBE-GGA
Structure: relaxed

Cell lengths 7.5837, 7.5837, 6.0790 Å; angles 51.41, 51.41, 90.00 degrees
Atoms (fractional coordinates):
Ag  0.1251  0.6250  0.2500
Ag  0.6249  0.1250  0.2500
Ag  0.3750  0.3751  0.7500
Ag  0.8750  0.8749  0.7500
Nb  0.2500  0.7500  0.5000
Nb  0.5000  0.5000  0.0000
Cd  0.0000  0.0000  0.0000
Cd  0.7500  0.2500  0.5000

Symmetry: No. 122
DFT total energy (eV/atom): -3.459
ΔH_f (0 K) (eV/atom): 0.713

14.
Compound: NbCdAg3
Source: the Alexandria database
Functional: PBE-GGA
Structure: relaxed

Cell lengths 5.0408, 5.0408, 5.0408 Å; angles 90.00, 90.00, 90.00 degrees
Each line ends with the local moment (μB).
Atoms (fractional coordinates):
Nb  0.5000  0.5000  0.5000  2.57
Ag  0.0000  0.0000  0.5000  -0.01
Ag  0.0000  0.5000  0.0000  -0.02
Ag  0.5000  0.0000  0.0000  0.01
Cd  0.0000  0.0000  0.0000  -0.02

Symmetry: No. 221
DFT total energy (eV/atom): -2.695
Energy above the lowest structure with this stoichiometry (meV/atom): 0
ΔH_f (0 K) (eV/atom): 1.212

15.
Compound: Nb3CdAg
Source: the Alexandria database
Functional: PBE-GGA
Structure: relaxed

Cell lengths 4.9492, 4.9492, 4.9492 Å; angles 90.00, 90.00, 90.00 degrees
Each line ends with the local moment (μB).
Atoms (fractional coordinates):
Nb  0.0000  0.5000  0.0000  0.47
Nb  0.0000  0.0000  0.5000  0.44
Nb  0.5000  0.0000  0.0000  0.48
Cd  0.5000  0.5000  0.5000  0.00
Ag  0.0000  0.0000  0.0000  0.10

Symmetry: No. 221
DFT total energy (eV/atom): -5.121
Energy above the lowest structure with this stoichiometry (meV/atom): 0
ΔH_f (0 K) (eV/atom): 1.674

16.
Compound: NbCdAg3
Source: the Alexandria database
Functional: PBE-GGA
Structure: relaxed

Cell lengths 5.2003, 5.2003, 5.2003 Å; angles 90.00, 90.00, 90.00 degrees
Atoms (fractional coordinates):
Ag  0.5000  0.0000  0.0000
Ag  0.0000  0.0000  0.5000
Ag  0.0000  0.5000  0.0000
Cd  0.5000  0.5000  0.5000
Nb  0.0000  0.0000  0.0000

Symmetry: No. 221
DFT total energy (eV/atom): -2.584
Energy above the lowest structure with this stoichiometry (meV/atom): 111
ΔH_f (0 K) (eV/atom): 1.323

17.
Compound: NbCdAg
Source: the Alexandria database
Functional: PBE-GGA
Structure: relaxed

Cell lengths 2.9363, 2.9363, 6.8274 Å; angles 102.42, 102.42, 90.00 degrees
Atoms (fractional coordinates):
Ag  0.3317  0.3317  0.6634
Cd  0.9987  0.9987  0.9974
Nb  0.6696  0.6696  0.3392

Symmetry: No. 107
DFT total energy (eV/atom): -4.458
Energy above the lowest structure with this stoichiometry (meV/atom): 0
ΔH_f (0 K) (eV/atom): 0.154

18.
Compound: NbCdAg
Source: the Alexandria database
Functional: PBE-GGA
Structure: relaxed

Cell lengths 2.8853, 2.8854, 14.1534 Å; angles 78.22, 101.80, 90.43 degrees
Atoms (fractional coordinates):
Nb  0.0102  0.4888  0.2600
Nb  0.9898  0.5112  0.7400
Cd  0.3417  0.1573  0.0910
Cd  0.6583  0.8427  0.9090
Ag  0.6705  0.8290  0.4206
Ag  0.3295  0.1710  0.5794

Symmetry: No. 12
DFT total energy (eV/atom): -4.435
Energy above the lowest structure with this stoichiometry (meV/atom): 23
ΔH_f (0 K) (eV/atom): 0.177

19.
Compound: NbCdAg2
Source: the Alexandria database
Functional: PBE-GGA
Structure: relaxed

Cell lengths 2.9299, 2.9299, 10.1724 Å; angles 81.72, 81.72, 60.00 degrees
Atoms (fractional coordinates):
Nb  0.5000  0.5000  0.5000
Cd  0.0000  0.0000  0.0000
Ag  0.7513  0.7513  0.7462
Ag  0.2487  0.2487  0.2538

Symmetry: No. 166
DFT total energy (eV/atom): -4.026
ΔH_f (0 K) (eV/atom): 0.146

20.
Compound: NbCd2Ag
Source: the Alexandria database
Functional: PBE-GGA
Structure: relaxed

Cell lengths 7.6402, 7.6402, 6.1414 Å; angles 51.54, 51.54, 90.00 degrees
Atoms (fractional coordinates):
Cd  0.8750  0.8870  0.7500
Cd  0.6370  0.1250  0.2500
Cd  0.1130  0.6250  0.2500
Cd  0.3750  0.3630  0.7500
Ag  0.7500  0.2500  0.5000
Ag  0.0000  0.0000  0.0000
Nb  0.5000  0.5000  0.0000
Nb  0.2500  0.7500  0.5000

Symmetry: No. 122
DFT total energy (eV/atom): -3.080
Energy above the lowest structure with this stoichiometry (meV/atom): 536
ΔH_f (0 K) (eV/atom): 0.608